[1]
Computed, not measured: LiTl2Pb at its PBEsol-relaxed geometry at the meta-GGA SCAN level of DFT.

Results
Total DFT energy (no corrections) ... -223.39 eV for the cell shown
Mass density ... 10.06 g cm⁻³
E above lowest polymorph ... 26 meV/atom
Energy relative to the elements ... -0.125 eV/atom

a = 3.445 Å, b = 5.708 Å, c = 6.111 Å
α = 115.73°, β = 106.37°, γ = 90.00°
Atoms (fractional coordinates):
Pb 0.769 0.335 0.539
Tl 0.997 0.953 0.994
Tl 0.229 0.795 0.457
Li 0.505 0.416 0.010

***

[2]
Computed, not measured: LiTl2Pb at its PBEsol-relaxed geometry at the meta-GGA SCAN level of DFT.

Results
Total DFT energy (no corrections) ... -223.25 eV for the cell shown
Mass density ... 9.82 g cm⁻³
E above lowest polymorph ... 59 meV/atom
Energy relative to the elements ... -0.091 eV/atom

a = 5.301 Å, b = 5.301 Å, c = 5.301 Å
α = 60.00°, β = 60.00°, γ = 60.00°
Atoms (fractional coordinates):
Pb 0.250 0.250 0.250
Tl 0.000 0.000 0.000
Tl 0.750 0.750 0.750
Li 0.500 0.500 0.500

***

[3]
Computed, not measured: LiTlPb2 at its PBEsol-relaxed geometry at the meta-GGA SCAN level of DFT.

Results
Total DFT energy (no corrections) ... -226.91 eV for the cell shown
Mass density ... 9.54 g cm⁻³
Energy relative to the elements ... -0.149 eV/atom

a = 5.360 Å, b = 5.360 Å, c = 5.360 Å
α = 60.00°, β = 60.00°, γ = 60.00°
Atoms (fractional coordinates):
Pb 0.000 0.000 0.000
Pb 0.750 0.750 0.750
Tl 0.250 0.250 0.250
Li 0.500 0.500 0.500

***

[4]
Computed, not measured: LiTl2Pb at its PBEsol-relaxed geometry at the meta-GGA SCAN level of DFT.

Results
Total DFT energy (no corrections) ... -223.36 eV for the cell shown
Mass density ... 10.04 g cm⁻³
E above lowest polymorph ... 33 meV/atom
Energy relative to the elements ... -0.118 eV/atom

a = 3.456 Å, b = 4.473 Å, c = 6.662 Å
α = 90.00°, β = 90.10°, γ = 90.00°
Atoms (fractional coordinates):
Pb 0.500 0.500 0.500
Tl 0.001 0.000 0.764
Tl 0.999 0.000 0.236
Li 0.500 0.500 0.000

***

[5]
Computed, not measured: LiTl2Pb at its PBEsol-relaxed geometry at the meta-GGA SCAN level of DFT.

Results
Total DFT energy (no corrections) ... -223.26 eV for the cell shown
Mass density ... 9.76 g cm⁻³
E above lowest polymorph ... 58 meV/atom
Energy relative to the elements ... -0.093 eV/atom

a = 5.313 Å, b = 5.313 Å, c = 5.313 Å
α = 60.00°, β = 60.00°, γ = 60.00°
Atoms (fractional coordinates):
Pb 0.500 0.500 0.500
Tl 0.250 0.250 0.250
Tl 0.750 0.750 0.750
Li 0.000 0.000 0.000

***

[6]
Computed, not measured: Li2TlPb at its PBEsol-relaxed geometry at the meta-GGA SCAN level of DFT.

Results
Total DFT energy (no corrections) ... -154.35 eV for the cell shown
Mass density ... 8.52 g cm⁻³
E above lowest polymorph ... 0 meV/atom
Energy relative to the elements ... -0.357 eV/atom

a = 4.894 Å, b = 4.894 Å, c = 4.894 Å
α = 60.00°, β = 60.00°, γ = 60.00°
Atoms (fractional coordinates):
Pb 0.000 0.000 0.000
Tl 0.500 0.500 0.500
Li 0.250 0.250 0.250
Li 0.750 0.750 0.750

***

[7]
Computed, not measured: LiTlPb2 at its PBEsol-relaxed geometry at the meta-GGA SCAN level of DFT.

Results
Total DFT energy (no corrections) ... -226.83 eV for the cell shown
Mass density ... 9.84 g cm⁻³
Energy relative to the elements ... -0.131 eV/atom

a = 3.495 Å, b = 5.659 Å, c = 5.772 Å
α = 103.33°, β = 107.63°, γ = 90.00°
Atoms (fractional coordinates):
Pb 0.237 0.238 0.473
Pb 0.763 0.762 0.527
Tl 0.000 0.500 0.000
Li 0.500 0.000 0.000

***

[8]
Computed, not measured: LiTl2Pb at its PBEsol-relaxed geometry at the meta-GGA SCAN level of DFT.

Results
Total DFT energy (no corrections) ... -223.36 eV for the cell shown
Mass density ... 10.08 g cm⁻³
E above lowest polymorph ... 32 meV/atom
Energy relative to the elements ... -0.119 eV/atom

a = 3.770 Å, b = 5.305 Å, c = 6.076 Å
α = 115.88°, β = 108.07°, γ = 90.00°
Atoms (fractional coordinates):
Pb 0.232 0.732 0.464
Tl 0.002 0.002 0.005
Tl 0.771 0.271 0.541
Li 0.495 0.495 0.990